Ca4InO5: relaxed, PBE-GGA.

Properties
**DOS at the Fermi energy**: 0.092 states/eV per atom
**ΔE_f (raw)**: -2542 meV per atom

Cell: 5.9848 5.9848 5.9848 Å, 99.31 99.31 132.56°
Last column: nearest neighbours and their distance in Å.
Atoms (fractional coordinates):
1 Ca 0.1033 0.6985 0.8018  6 O 2.38-2.47
2 Ca 0.3015 0.1033 0.4047  6 O 2.38-2.47
3 Ca 0.6985 0.8967 0.5953  6 O 2.38-2.47
4 Ca 0.8967 0.3015 0.1982  6 O 2.38-2.47
5 In 0.4999 0.4999 0.0000  6 O 2.40-2.54
6 O 0.1899 0.3946 0.5843  5 Ca 2.38-2.45, 1 In 2.54
7 O 0.3946 0.8102 0.2046  5 Ca 2.38-2.45, 1 In 2.54
8 O 0.6056 0.1899 0.7954  5 Ca 2.38-2.45, 1 In 2.54
9 O 0.8102 0.6056 0.4157  5 Ca 2.38-2.45, 1 In 2.54
10 O 0.9989 0.9989 0.0000  2 In 2.40-2.41, 4 Ca 2.47

=====

VRePd2: relaxed, PBE-GGA.

Properties
**E_form**: 0.273 eV per atom
**DOS at the Fermi energy**: 1.202 states/eV per atom

Cell: 9.7744 9.7744 9.7744 Å, 15.94 15.94 15.94°
Last column: nearest neighbours and their distance in Å.
Atoms (fractional coordinates):
1 V 0.0000 0.0000 0.0000  6 Pd 2.68, 6 V 2.71
2 Re 0.5000 0.5000 0.5000  2 Pd 2.65, 6 Re 2.71
3 Pd 0.4084 0.4084 0.4084  1 Re 2.65, 3 V 2.68, 6 Pd 2.71
4 Pd 0.5916 0.5916 0.5916  1 Re 2.65, 3 V 2.68, 6 Pd 2.71